1.
VASP calculation (PBE) on Nd2Sm12Er after structural relaxation.

Cell: 6.7997 6.7997 24.9504 Å, 90.00 90.00 116.30°
Closest atoms and distances in Å follow each position.
Fractional coordinates of all 30 atoms:
1 Nd 0.2500 0.7500 0.2343  2 Nd 3.59, 10 Sm 3.73-3.92
2 Nd 0.2500 0.7500 0.7728  2 Nd 3.59, 8 Sm 3.66-3.87
3 Nd 0.7500 0.2500 0.2272  2 Nd 3.59, 8 Sm 3.66-3.87
4 Nd 0.7500 0.2500 0.7657  2 Nd 3.59, 10 Sm 3.73-3.92
5 Sm 0.0014 0.5014 0.6264  8 Sm 3.40-3.63, 2 Er 3.62-3.64
6 Sm 0.0010 0.9990 0.4247  2 Er 3.44-3.45, 9 Sm 3.56-3.76
7 Sm 0.0194 0.5194 0.0826  7 Sm 3.30-3.67
8 Sm 0.0237 0.9763 0.9402  5 Sm 3.03-3.36
9 Sm 0.2500 0.2500 0.1733  3 Sm 3.19-3.36
10 Sm 0.2500 0.2500 0.3013  5 Sm 3.19-3.56
11 Sm 0.2500 0.2500 0.6987  5 Sm 3.19-3.56
12 Sm 0.2500 0.2500 0.8267  3 Sm 3.19-3.36
13 Sm 0.4763 0.5237 0.9402  5 Sm 3.03-3.36
14 Sm 0.4806 0.9806 0.0826  7 Sm 3.30-3.67
15 Sm 0.4990 0.5010 0.4247  2 Er 3.44-3.45, 9 Sm 3.56-3.76
16 Sm 0.4986 0.9986 0.6264  8 Sm 3.40-3.63, 2 Er 3.62-3.64
17 Sm 0.5014 0.0014 0.3736  8 Sm 3.40-3.63, 2 Er 3.62-3.64
18 Sm 0.5010 0.4990 0.5753  2 Er 3.44-3.45, 9 Sm 3.56-3.76
19 Sm 0.5194 0.0194 0.9174  7 Sm 3.30-3.67
20 Sm 0.5237 0.4763 0.0598  5 Sm 3.03-3.36
21 Sm 0.7500 0.7500 0.1733  3 Sm 3.19-3.36
22 Sm 0.7500 0.7500 0.3013  5 Sm 3.19-3.56
23 Sm 0.7500 0.7500 0.6987  5 Sm 3.19-3.56
24 Sm 0.7500 0.7500 0.8267  3 Sm 3.19-3.36
25 Sm 0.9763 0.0237 0.0598  5 Sm 3.03-3.36
26 Sm 0.9806 0.4806 0.9174  7 Sm 3.30-3.67
27 Sm 0.9990 0.0010 0.5753  2 Er 3.44-3.45, 9 Sm 3.56-3.76
28 Sm 0.9986 0.4986 0.3736  8 Sm 3.40-3.63, 2 Er 3.62-3.64
29 Er 0.2500 0.7500 0.5002  8 Sm 3.44-3.64, 2 Er 3.59
30 Er 0.7500 0.2500 0.4998  8 Sm 3.44-3.64, 2 Er 3.59

DFT total energy = -4.56 eV/atom
energy relative to the elements = 156 meV per atom
crystal system = orthorhombic
N(E_F) = 22.08 states/eV/f.u.

***

2.
VASP calculation (PBE) on Nd4Sm4Er after structural relaxation.

Cell: 8.1363 8.1363 8.1363 Å, 95.72 95.72 143.19°
Closest atoms and distances in Å follow each position.
Fractional coordinates of all 9 atoms:
1 Nd 0.1660 0.1660 0.3320  4 Nd 3.62-3.65, 2 Er 3.63, 6 Sm 3.64-3.65
2 Nd 0.1660 0.8340 0.0000  4 Nd 3.62-3.65, 2 Er 3.63, 6 Sm 3.64-3.65
3 Nd 0.8340 0.1660 0.0000  4 Nd 3.62-3.65, 2 Er 3.63, 6 Sm 3.64-3.65
4 Nd 0.8340 0.8340 0.6680  4 Nd 3.62-3.65, 2 Er 3.63, 6 Sm 3.64-3.65
5 Sm 0.1668 0.5000 0.6668  6 Nd 3.64-3.65, 5 Sm 3.64, 1 Er 3.64
6 Sm 0.5000 0.1668 0.6668  6 Nd 3.64-3.65, 5 Sm 3.64, 1 Er 3.64
7 Sm 0.5000 0.8332 0.3332  6 Nd 3.64-3.65, 5 Sm 3.64, 1 Er 3.64
8 Sm 0.8332 0.5000 0.3332  6 Nd 3.64-3.65, 5 Sm 3.64, 1 Er 3.64
9 Er 0.5000 0.5000 0.0000  8 Nd 3.63, 4 Sm 3.64

DFT total energy = -4.71 eV/atom
energy relative to the elements = 14 meV per atom
crystal system = tetragonal
N(E_F) = 13.23 states/eV/f.u.

***

3.
VASP calculation (PBE) on Nd2SmEr7 after structural relaxation.

Cell: 14.7476 14.7476 3.5109 Å, 90.00 90.00 154.66°
Closest atoms and distances in Å follow each position.
Fractional coordinates of all 10 atoms:
1 Nd 0.2081 0.7919 0.0000  2 Nd 3.51, 8 Er 3.55-3.74
2 Nd 0.7919 0.2081 0.0000  2 Nd 3.51, 8 Er 3.55-3.74
3 Sm 0.5000 0.5000 0.5000  2 Sm 3.51, 12 Er 3.68-3.70
4 Er 0.0000 0.0000 0.0000  6 Er 3.27-3.51
5 Er 0.1546 0.3515 0.0000  7 Er 3.20-3.51, 1 Nd 3.56
6 Er 0.3156 0.6844 0.5000  6 Er 3.43-3.51, 6 Nd 3.55-3.74
7 Er 0.3515 0.1546 0.0000  7 Er 3.20-3.51, 1 Nd 3.56
8 Er 0.6485 0.8454 0.0000  7 Er 3.20-3.51, 1 Nd 3.56
9 Er 0.6844 0.3156 0.5000  6 Er 3.43-3.51, 6 Nd 3.55-3.74
10 Er 0.8454 0.6485 0.0000  7 Er 3.20-3.51, 1 Nd 3.56

DFT total energy = -4.46 eV/atom
polymorph energy (0 for the lowest one) = 1.08 eV per formula unit
energy relative to the elements = 164 meV per atom
crystal system = orthorhombic
N(E_F) = 16.17 states/eV/f.u.

***

4.
VASP calculation (PBE) on Nd5Sm5Er after structural relaxation.

Cell: 9.8234 9.8234 7.0256 Å, 107.05 107.05 36.39°
Closest atoms and distances in Å follow each position.
Fractional coordinates of all 11 atoms:
1 Nd 0.0000 0.0000 0.0000  2 Er 3.51, 4 Sm 3.53-3.63, 4 Nd 3.81
2 Nd 0.3298 0.3298 0.3061  3 Sm 3.05-3.31
3 Nd 0.3738 0.3738 0.8476  6 Sm 3.56-3.88, 4 Nd 3.56-3.81
4 Nd 0.6262 0.6262 0.1524  6 Sm 3.56-3.88, 4 Nd 3.56-3.81
5 Nd 0.6702 0.6702 0.6939  3 Sm 3.05-3.31
6 Sm 0.1726 0.1726 0.4194  6 Nd 3.27-3.63, 1 Er 3.44, 2 Sm 3.44-3.58
7 Sm 0.1765 0.1765 0.9126  4 Nd 3.31-3.53, 2 Sm 3.44-3.58, 1 Er 3.66
8 Sm 0.5000 0.5000 0.5000  2 Nd 3.05, 2 Er 3.07
9 Sm 0.8235 0.8235 0.0874  4 Nd 3.31-3.53, 2 Sm 3.44-3.58, 1 Er 3.66
10 Sm 0.8274 0.8274 0.5806  6 Nd 3.27-3.63, 1 Er 3.44, 2 Sm 3.44-3.58
11 Er 0.0000 0.0000 0.5000  2 Sm 3.07

DFT total energy = -4.48 eV/atom
energy relative to the elements = 245 meV per atom
crystal system = monoclinic
N(E_F) = 17.28 states/eV/f.u.

***

Question: Among the records above, which one has the lowest N(E_F)?
Answer: Nd4Sm4Er

***

Question: What is the energy relative to the elements in the second record?
Answer: 14 meV per atom

***

Question: Among the records above, which one has the lowest energy relative to the elements?
Answer: Nd4Sm4Er